No. 1
HfGa2N | PBE-GGA | relaxed

Cell: 5.819 5.819 5.819 Å, 98.14 98.14 135.80°
Atoms (fractional coordinates):
Hf 0.000 0.000 0.000
Hf 0.750 0.250 0.500
Ga 0.214 0.625 0.089
Ga 0.375 0.464 0.589
Ga 0.536 0.125 0.911
Ga 0.875 0.786 0.411
N 0.250 0.750 0.500
N 0.500 0.500 0.000

Results
E_tot ... -6.07 eV/atom
Density of states at the Fermi level ... 6.03 states/eV/cell
Formation energy (no corrections) ... 0.06 eV/f.u.
Total magnetization ... 0.00 μB/cell

***

No. 2
RbLiTl6 | PBE-GGA | relaxed

Cell: 5.106 8.654 5.737 Å, 90.00 90.00 90.00°
Atoms (fractional coordinates):
Rb 0.000 0.000 0.000
Li 0.500 0.500 0.349
Tl 0.000 0.294 0.490
Tl 0.000 0.500 0.015
Tl 0.000 0.706 0.490
Tl 0.500 0.000 0.474
Tl 0.500 0.292 0.873
Tl 0.500 0.708 0.873

Results
E_tot ... -2.17 eV/atom
Density of states at the Fermi level ... 4.60 states/eV/cell
ΔH_f (0 K) ... -0.3 eV/f.u.
Total magnetization ... 0.00 μB/cell

***

No. 3
Ac2La7Tb | PBE-GGA | relaxed

Cell: 15.554 15.554 3.636 Å, 90.00 90.00 154.16°
Atoms (fractional coordinates):
Ac 0.206 0.794 0.000
Ac 0.794 0.206 0.000
La 0.000 0.000 0.000
La 0.165 0.357 0.000
La 0.316 0.684 0.500
La 0.357 0.165 0.000
La 0.643 0.835 0.000
La 0.684 0.316 0.500
La 0.835 0.643 0.000
Tb 0.500 0.500 0.500

Results
E_tot ... -4.60 eV/atom
Density of states at the Fermi level ... 16.25 states/eV/cell
ΔH_f (0 K) ... 1.3 eV/f.u.
Total magnetization ... 0.00 μB/cell

***

No. 4
Ac2Tb3Sm3 | PBE-GGA | relaxed

Cell: 8.984 8.984 17.739 Å, 90.00 90.00 155.64°
Atoms (fractional coordinates):
Ac 0.249 0.751 0.605
Ac 0.249 0.751 0.895
Ac 0.751 0.249 0.105
Ac 0.751 0.249 0.395
Tb 0.090 0.910 0.250
Tb 0.455 0.545 0.119
Tb 0.455 0.545 0.381
Tb 0.545 0.455 0.619
Tb 0.545 0.455 0.881
Tb 0.910 0.090 0.750
Sm 0.092 0.908 0.041
Sm 0.092 0.908 0.459
Sm 0.118 0.882 0.750
Sm 0.882 0.118 0.250
Sm 0.908 0.092 0.541
Sm 0.908 0.092 0.959

Results
E_tot ... -4.38 eV/atom
Density of states at the Fermi level ... 21.52 states/eV/cell
ΔH_f (0 K) ... 1.3 eV/f.u.
Total magnetization ... 0.00 μB/cell

***

No. 5
TcSe2I | PBE-GGA | relaxed

Cell: 4.114 4.114 5.745 Å, 90.00 90.00 90.00°
Atoms (fractional coordinates):
Tc 0.000 0.000 0.000
Se 0.000 0.000 0.500
Se 0.500 0.500 0.000
I 0.500 0.500 0.500

Results
E_tot ... -3.94 eV/atom
Density of states at the Fermi level ... 4.41 states/eV/cell
Formation energy (no corrections) ... 3.11 eV/f.u.
Total magnetization ... 3.38 μB/cell

***

No. 6
Al2MoCl | PBE-GGA | relaxed

Cell: 10.272 10.272 10.272 Å, 16.59 16.59 16.59°
Atoms (fractional coordinates):
Al 0.000 0.000 0.000
Al 0.258 0.258 0.258
Mo 0.738 0.738 0.738
Cl 0.463 0.463 0.463

Results
E_tot ... -5.11 eV/atom
Density of states at the Fermi level ... 2.74 states/eV/cell
Formation energy (no corrections) ... -0.27 eV/f.u.
Total magnetization ... 0.00 μB/cell